# 1
The following is a DFT calculation (PBE) of crystalline CaScAl2 at its relaxed geometry.

Cell lengths 6.4149, 8.6315, 3.1458 Å; angles 90.00, 90.15, 90.00 degrees
Space group C2/m (No. 12)
Symmetry-distinct sites (fractional):
Ca1 0.0000 0.0000 0.0000 x2
Sc1 0.0000 0.5000 0.0000 x2
Al1 0.2500 0.2500 0.5000 x4

Properties
Energy of formation from the pure elements   -0.98 eV/f.u.
Offset from the most stable computed form   72 meV/atom
Crystal system   monoclinic


# 2
The following is a DFT calculation (PBE) of crystalline Si2SbOs at its relaxed geometry.

Cell lengths 3.8664, 3.9516, 4.9269 Å; angles 90.00, 110.75, 90.00 degrees
Space group Pm (No. 6)
Symmetry-distinct sites (fractional):
Si1 0.0000 0.0000 0.0000 x1
Si2 0.3727 0.5000 0.9009 x1
Sb1 0.6537 0.0000 0.4618 x1
Os1 0.0419 0.5000 0.2858 x1

Properties
Uncorrected formation energy   1.1 eV per formula unit
Crystal system   monoclinic